Computed, not measured: a geometry-optimized Ac3Si4Ni2 structure at the GGA-PBE level of DFT.

Unit cell a=11.674 b=4.146 c=8.516 alpha=90.00 beta=96.03 gamma=90.00
Space group C2/m (No. 12)
One atom of each set of equivalent atoms:
Ac 0.000 0.000 0.000 [2 per cell]
Ac 0.164 0.500 0.661 [4 per cell]
Si 0.056 0.000 0.381 [4 per cell]
Si 0.220 0.500 0.068 [4 per cell]
Ni 0.108 0.500 0.278 [4 per cell]

Formation energy without anion corrections = -0.679 eV per atom
Density = 7.4 g cm⁻³
Total energy = -103.38 eV per cell

Computed, not measured: a geometry-optimized AcSi2Ni2 structure at the GGA-PBE level of DFT.

Unit cell a=6.323 b=5.482 c=10.533 alpha=90.00 beta=90.00 gamma=90.00
Space group Cmcm (No. 63)
One atom of each set of equivalent atoms:
Ac 0.000 0.216 0.250 [4 per cell]
Si 0.000 0.305 0.583 [8 per cell]
Ni 0.206 0.000 0.000 [8 per cell]

Formation energy without anion corrections = -0.679 eV per atom
Density = 7.3 g cm⁻³
Total energy = -119.65 eV per cell

Computed, not measured: a geometry-optimized Ac3Si4Ni7 structure at the GGA-PBE level of DFT.

Unit cell a=15.152 b=4.022 c=10.310 alpha=90.00 beta=128.34 gamma=90.00
Space group C2/m (No. 12)
One atom of each set of equivalent atoms:
Ac 0.000 0.000 0.000 [2 per cell]
Ac 0.190 0.500 0.685 [4 per cell]
Si 0.100 0.000 0.383 [4 per cell]
Si 0.178 0.500 0.990 [4 per cell]
Ni 0.000 0.000 0.500 [2 per cell]
Ni 0.000 0.500 0.277 [4 per cell]
Ni 0.122 0.000 0.844 [4 per cell]
Ni 0.200 0.500 0.404 [4 per cell]

Formation energy without anion corrections = -0.528 eV per atom
Density = 8.1 g cm⁻³
Total energy = -163.76 eV per cell

Computed, not measured: a geometry-optimized Ac4Si2Ni structure at the GGA-PBE level of DFT.

Unit cell a=5.249 b=5.249 c=16.970 alpha=90.00 beta=90.00 gamma=90.00
Space group I4/mmm (No. 139)
One atom of each set of equivalent atoms:
Ac 0.000 0.000 0.184 [4 per cell]
Ac 0.000 0.500 0.000 [4 per cell]
Si 0.000 0.000 0.368 [4 per cell]
Ni 0.000 0.000 0.000 [2 per cell]

Formation energy without anion corrections = -0.206 eV per atom
Density = 7.3 g cm⁻³
Total energy = -69.00 eV per cell

Computed, not measured: a geometry-optimized Ac2Si3Ni structure at the GGA-PBE level of DFT.

Unit cell a=8.281 b=9.242 c=14.316 alpha=90.00 beta=90.00 gamma=90.00
Space group Fmmm (No. 69)
One atom of each set of equivalent atoms:
Ac 0.000 0.247 0.000 [8 per cell]
Ac 0.250 0.250 0.250 [8 per cell]
Si 0.000 0.000 0.170 [8 per cell]
Si 0.244 0.000 0.415 [16 per cell]
Ni 0.000 0.000 0.333 [8 per cell]

Formation energy without anion corrections = -0.718 eV per atom
Density = 7.2 g cm⁻³
Total energy = -276.60 eV per cell

Computed, not measured: a geometry-optimized AcSi3Ni2 structure at the GGA-PBE level of DFT.

Unit cell a=12.329 b=12.329 c=12.329 alpha=90.00 beta=90.00 gamma=90.00
Space group Fd-3m (No. 227, origin choice 2)
One atom of each set of equivalent atoms:
Ac 0.000 0.000 0.000 [16 per cell]
Si 0.071 0.375 0.875 [48 per cell]
Ni 0.010 0.010 0.740 [32 per cell]

Formation energy without anion corrections = -0.047 eV per atom
Density = 6.1 g cm⁻³
Total energy = -515.55 eV per cell

Computed, not measured: a geometry-optimized Ac2Si5Ni structure at the GGA-PBE level of DFT.

Unit cell a=5.554 b=5.554 c=11.032 alpha=90.00 beta=90.00 gamma=90.00
Space group I4mm (No. 107)
One atom of each set of equivalent atoms:
Ac 0.000 0.500 0.000 [4 per cell]
Si 0.000 0.000 0.365 [2 per cell]
Si 0.223 0.223 0.745 [8 per cell]
Ni 0.000 0.000 0.156 [2 per cell]

Formation energy without anion corrections = -0.391 eV per atom
Density = 6.4 g cm⁻³
Total energy = -88.48 eV per cell

Computed, not measured: a geometry-optimized Ac4SiNi3 structure at the GGA-PBE level of DFT.

Unit cell a=4.254 b=4.263 c=11.844 alpha=90.00 beta=90.00 gamma=90.00
Space group Pmm2 (No. 25)
One atom of each set of equivalent atoms:
Ac 0.000 0.000 0.000 [1 per cell]
Ac 0.000 0.500 0.264 [1 per cell]
Ac 0.500 0.000 0.494 [1 per cell]
Ac 0.500 0.500 0.775 [1 per cell]
Si 0.000 0.000 0.689 [1 per cell]
Ni 0.000 0.500 0.583 [1 per cell]
Ni 0.500 0.000 0.198 [1 per cell]
Ni 0.500 0.500 0.070 [1 per cell]

Formation energy without anion corrections = -0.337 eV per atom
Density = 8.6 g cm⁻³
Total energy = -41.90 eV per cell